1.
## KLi2IrSe (PBE)

Data for an optimized crystal structure of KLi2IrSe.

The structure in CIF format:
```
data_KLi2IrSe
_symmetry_space_group_name_H-M 'P 4/m m m'
_symmetry_Int_Tables_number 123
_symmetry_space_group_name_Hall '-P 4 2'
_cell_length_a 4.937
_cell_length_b 4.937
_cell_length_c 4.739
_cell_angle_alpha 90.00
_cell_angle_beta 90.00
_cell_angle_gamma 90.00
loop_
_atom_site_label
_atom_site_type_symbol
_atom_site_fract_x
_atom_site_fract_y
_atom_site_fract_z
K1 K 0.000 0.000 0.000
Li1 Li 0.000 0.500 0.500
Ir1 Ir 0.500 0.500 0.000
Se1 Se 0.500 0.500 0.500
```

Volume = 23.1 Å³/atom
Formation energy without anion corrections = -99 meV/atom
Total magnetization = 0.0 μB per formula unit

=====

2.
## KLiTl2Ir (PBE)

Data for an optimized crystal structure of KLiTl2Ir.

The structure in CIF format:
```
data_KLiTl2Ir
_symmetry_space_group_name_H-M 'P 4/m m m'
_symmetry_Int_Tables_number 123
_symmetry_space_group_name_Hall '-P 4 2'
_cell_length_a 5.298
_cell_length_b 5.298
_cell_length_c 5.115
_cell_angle_alpha 90.00
_cell_angle_beta 90.00
_cell_angle_gamma 90.00
loop_
_atom_site_label
_atom_site_type_symbol
_atom_site_fract_x
_atom_site_fract_y
_atom_site_fract_z
K1 K 0.000 0.000 0.000
Li1 Li 0.500 0.500 0.000
Tl1 Tl 0.000 0.500 0.500
Ir1 Ir 0.500 0.500 0.500
```

Volume = 28.7 Å³/atom
Total magnetization = 0.0 μB per formula unit
Energy of formation = -0.0248 eV/atom

=====

3.
## KLiZn2Ir (PBE)

Data for an optimized crystal structure of KLiZn2Ir.

The structure in CIF format:
```
data_KLiZn2Ir
_symmetry_space_group_name_H-M 'P 4/m m m'
_symmetry_Int_Tables_number 123
_symmetry_space_group_name_Hall '-P 4 2'
_cell_length_a 4.908
_cell_length_b 4.908
_cell_length_c 4.909
_cell_angle_alpha 90.00
_cell_angle_beta 90.00
_cell_angle_gamma 90.00
loop_
_atom_site_label
_atom_site_type_symbol
_atom_site_fract_x
_atom_site_fract_y
_atom_site_fract_z
K1 K 0.000 0.000 0.000
Li1 Li 0.500 0.500 0.000
Zn1 Zn 0.000 0.500 0.500
Ir1 Ir 0.500 0.500 0.500
```

Volume = 23.6 Å³/atom
Total magnetization = 0.0 μB per formula unit
Energy of formation = -0.0179 eV/atom